No. 1
DFT (PBE) results for crystalline CsThPdSe2 at its relaxed geometry.

a b c (Å): 9.117 4.738 7.809
angles (deg): 90.00 99.60 90.00
Space group P2/c (No. 13)
Unique sites:
Cs (0.000, 0.205, 0.250) (multiplicity 2)
Th (0.500, 0.493, 0.750) (multiplicity 2)
Pd (0.500, 0.000, 0.000) (multiplicity 2)
Se (0.270, 0.300, 0.959) (multiplicity 4)

Values from the calculation:
* DOS at the Fermi energy: 3.1 states/eV/f.u.
* electronic total energy: -5.24 eV/atom
* magnetization: 0.00 μB/cell

***

No. 2
DFT (PBE) results for crystalline CsTiPdSe3 at its relaxed geometry.

a b c (Å): 9.167 3.800 10.281
angles (deg): 90.00 116.16 90.00
Space group P2_1/m (No. 11)
Unique sites:
Cs (0.242, 0.250, 0.262) (multiplicity 2)
Ti (0.306, 0.750, 0.839) (multiplicity 2)
Pd (0.091, 0.250, 0.606) (multiplicity 2)
Se (0.131, 0.250, 0.868) (multiplicity 2)
Se (0.247, 0.750, 0.574) (multiplicity 2)
Se (0.478, 0.750, 0.128) (multiplicity 2)

Values from the calculation:
* DOS at the Fermi energy: 3.5 states/eV/f.u.
* electronic total energy: -5.02 eV/atom
* magnetization: 0.00 μB/cell

***

No. 3
DFT (PBE) results for crystalline Cs2TlPdSe2 at its relaxed geometry.

a b c (Å): 7.817 14.993 7.308
angles (deg): 90.00 90.00 90.00
Space group Ibam (No. 72)
Unique sites:
Cs (0.214, 0.171, 0.000) (multiplicity 8)
Tl (0.000, 0.500, 0.250) (multiplicity 4)
Pd (0.000, 0.000, 0.250) (multiplicity 4)
Se (0.201, 0.076, 0.500) (multiplicity 8)

Values from the calculation:
* DOS at the Fermi energy: 4.8 states/eV/f.u.
* electronic total energy: -3.26 eV/atom
* magnetization: 0.00 μB/cell

***

No. 4
DFT (PBE) results for crystalline CsU2Pd2Se6 at its relaxed geometry.

a b c (Å): 7.015 7.582 7.643
angles (deg): 61.22 69.76 65.07
Space group P-1 (No. 2)
Unique sites:
Cs (0.000, 0.000, 0.000) (multiplicity 1)
U (0.018, 0.662, 0.669) (multiplicity 2)
Pd (0.491, 0.702, 0.348) (multiplicity 2)
Se (0.251, 0.501, 0.377) (multiplicity 2)
Se (0.251, 0.939, 0.537) (multiplicity 2)
Se (0.256, 0.336, 0.965) (multiplicity 2)

Values from the calculation:
* DOS at the Fermi energy: 10.6 states/eV/f.u.
* electronic total energy: -5.78 eV/atom
* magnetization: 0.99 μB/cell